# 1
{"formula": "CaMnIr2", "functional": "PBE", "state": "relaxed", "lattice_angstrom": [[-1.110, -4.397, 0.366], [4.360, -1.151, -0.606], [0.473, 0.141, 3.130]], "species": ["Ca", "Ir", "Ir", "Mn"], "fractional_positions": [[0.000, 0.500, 0.500], [0.000, 0.000, 0.000], [0.500, 0.500, 0.000], [0.500, 0.000, 0.500]], "e_form_mev_per_atom": 67, "volume_a3_per_atom": 16.4, "dos_at_fermi_per_ev_cell": 2.9, "final_energy_ev_per_atom": -7.156, "magmom_total_mub_per_fu": 3.7, "e_above_lowest_polymorph_mev_per_atom": 191}

***

# 2
{"formula": "Ag3SbCl7", "functional": "PBE", "state": "relaxed", "lattice_angstrom": [[5.753, -0.175, 4.057], [-1.493, 5.559, 4.057], [-0.146, -0.184, 9.856]], "species": ["Ag", "Ag", "Ag", "Cl", "Cl", "Cl", "Cl", "Cl", "Cl", "Cl", "Sb"], "fractional_positions": [[0.504, 0.504, 0.005], [0.759, 0.258, 0.598], [0.258, 0.759, 0.598], [0.626, 0.626, 0.508], [0.381, 0.008, 0.692], [0.528, 0.083, 0.192], [0.151, 0.151, 0.041], [0.008, 0.381, 0.692], [0.861, 0.861, 0.744], [0.083, 0.528, 0.192], [0.967, 0.967, 0.989]], "volume_a3_per_atom": 29.2, "dos_at_fermi_per_ev_cell": 5.5, "final_energy_ev_per_atom": -2.860, "raw_formation_energy_kj_per_mol_fu": -565, "magmom_total_mub_per_fu": 0.0}

***

# 3
{"formula": "Pm6TlCo2", "functional": "PBE", "state": "relaxed", "lattice_angstrom": [[-4.899, 0.733, -0.540], [1.984, -5.150, -2.001], [-1.637, -5.659, 7.174]], "species": ["Pm", "Pm", "Pm", "Pm", "Pm", "Pm", "Co", "Co", "Tl"], "fractional_positions": [[0.026, 0.052, 0.151], [0.669, 0.338, 0.625], [0.706, 0.413, 0.159], [0.331, 0.662, 0.375], [0.294, 0.587, 0.841], [0.974, 0.948, 0.849], [0.614, 0.227, 0.913], [0.386, 0.773, 0.087], [0.000, 0.000, 0.500]], "e_form_mev_per_atom": -82, "volume_a3_per_atom": 26.6, "dos_at_fermi_per_ev_cell": 7.7, "final_energy_ev_per_atom": -5.091, "magmom_total_mub_per_fu": 0.0, "e_above_lowest_polymorph_mev_per_atom": 86}